Record 1
Below is a relaxed structure of CaPu2ScAs4, with properties calculated at the PBE level.

Properties
- Calculated formation energy: -1.0657 eV/atom
- Raw total energy: -64.12 eV/cell

POSCAR file:
```
CaPu2ScAs4
1.0
7.013 0.000 0.000
0.000 4.119 0.000
-2.410 0.000 6.726
Ca Pu Sc As
1 2 1 4
Cartesian
0.000 0.000 0.000
2.302 0.000 3.363
3.506 2.060 0.000
-1.205 2.060 3.363
-0.063 0.000 4.964
1.144 2.060 1.782
3.459 2.060 4.944
4.667 0.000 1.762
```

---

Record 2
Below is a relaxed structure of Ca2PuScAs4, with properties calculated at the PBE level.

Properties
- Calculated formation energy: -1.0831 eV/atom
- Raw total energy: -51.93 eV/cell

POSCAR file:
```
Ca2PuScAs4
1.0
7.045 0.000 0.000
0.000 4.141 0.000
-2.380 0.000 6.773
Ca Pu Sc As
2 1 1 4
Cartesian
0.000 0.000 0.000
3.523 2.070 0.000
-1.190 2.070 3.387
2.333 0.000 3.387
0.009 0.000 4.921
1.182 2.070 1.873
3.484 2.070 4.900
4.656 0.000 1.852
```

---

Record 3
Below is a relaxed structure of CaSm2PuAs4, with properties calculated at the PBE level.

Properties
- Calculated formation energy: -1.2505 eV/atom
- Raw total energy: -54.37 eV/cell

POSCAR file:
```
CaSm2PuAs4
1.0
7.250 0.000 0.000
0.000 4.208 0.000
-2.390 0.000 6.858
Ca Sm Pu As
1 2 1 4
Cartesian
0.000 0.000 0.000
-1.195 2.104 3.429
2.430 0.000 3.429
3.625 2.104 0.000
0.068 0.000 5.182
1.281 2.104 1.698
4.792 0.000 1.675
3.579 2.104 5.159
```

---

Record 4
Below is a relaxed structure of Ca2PuTaAs4, with properties calculated at the PBE level.

Properties
- Calculated formation energy: -0.8897 eV/atom
- Raw total energy: -55.90 eV/cell

POSCAR file:
```
Ca2PuTaAs4
1.0
6.936 0.000 0.000
0.000 3.989 0.000
-2.244 0.000 6.813
Ca Pu Ta As
2 1 1 4
Cartesian
0.000 0.000 0.000
3.468 1.994 0.000
-1.122 1.994 3.406
2.346 0.000 3.406
0.178 0.000 4.957
1.277 1.994 1.902
3.414 1.994 4.911
4.513 0.000 1.856
```

---

Record 5
Below is a relaxed structure of Ca2TbPuAs4, with properties calculated at the PBE level.

Properties
- Calculated formation energy: -1.1299 eV/atom
- Raw total energy: -50.60 eV/cell

POSCAR file:
```
Ca2TbPuAs4
1.0
7.223 0.000 0.000
0.000 4.207 0.000
-2.429 0.000 6.827
Ca Tb Pu As
2 1 1 4
Cartesian
0.000 0.000 0.000
3.612 2.104 0.000
-1.215 2.104 3.413
2.397 0.000 3.413
0.039 0.000 5.009
1.238 2.104 1.841
3.556 2.104 4.986
4.754 0.000 1.818
```

---

Record 6
Below is a relaxed structure of CaTb2PuAs4, with properties calculated at the PBE level.

Properties
- Calculated formation energy: -1.2597 eV/atom
- Raw total energy: -54.27 eV/cell

POSCAR file:
```
CaTb2PuAs4
1.0
7.178 0.000 0.000
0.000 4.164 0.000
-2.365 0.000 6.804
Ca Tb Pu As
1 2 1 4
Cartesian
0.000 0.000 0.000
-1.183 2.082 3.402
2.406 0.000 3.402
3.589 2.082 0.000
0.063 0.000 5.108
1.264 2.082 1.717
3.548 2.082 5.087
4.749 0.000 1.695
```

---

Record 7
Below is a relaxed structure of Ca2PuThAs4, with properties calculated at the PBE level.

Properties
- Calculated formation energy: -1.1798 eV/atom
- Raw total energy: -53.79 eV/cell

POSCAR file:
```
Ca2PuThAs4
1.0
7.299 0.000 0.000
0.000 4.259 0.000
-2.484 0.000 6.914
Ca Pu Th As
2 1 1 4
Cartesian
0.000 0.000 0.000
-1.242 2.130 3.457
2.408 0.000 3.457
3.650 2.130 0.000
0.047 0.000 5.173
1.302 2.130 1.815
3.513 2.130 5.098
4.769 0.000 1.741
```

---

Record 8
Below is a relaxed structure of CaPu2ThAs4, with properties calculated at the PBE level.

Properties
- Calculated formation energy: -1.1672 eV/atom
- Raw total energy: -66.02 eV/cell

POSCAR file:
```
CaPu2ThAs4
1.0
7.255 0.000 0.000
0.000 4.218 0.000
-2.429 0.000 6.851
Ca Pu Th As
1 2 1 4
Cartesian
0.000 0.000 0.000
2.413 0.000 3.425
3.627 2.109 0.000
-1.214 2.109 3.425
0.050 0.000 5.146
1.280 2.109 1.768
3.546 2.109 5.083
4.776 0.000 1.705
```

---

Record 9
Below is a relaxed structure of CaPuTh2As4, with properties calculated at the PBE level.

Properties
- Calculated formation energy: -1.2861 eV/atom
- Raw total energy: -60.06 eV/cell

POSCAR file:
```
CaPuTh2As4
1.0
7.299 0.000 0.000
0.000 4.255 0.000
-2.486 0.000 6.934
Ca Pu Th As
1 1 2 4
Cartesian
0.000 0.000 0.000
-1.243 2.127 3.467
2.407 0.000 3.467
3.649 2.127 0.000
-0.049 0.000 5.175
1.215 2.127 1.755
3.598 2.127 5.179
4.862 0.000 1.759
```

---

Record 10
Below is a relaxed structure of Ca3PuTh2As6, with properties calculated at the PBE level.

Properties
- Calculated formation energy: -1.2309 eV/atom
- Raw total energy: -77.84 eV/cell

POSCAR file:
```
Ca3PuTh2As6
1.0
3.696 -6.400 0.000
3.696 6.400 0.000
-2.461 0.000 6.889
Ca Pu Th As
3 1 2 6
Cartesian
0.000 0.000 0.000
3.696 2.146 0.000
3.696 -2.146 0.000
2.466 0.000 3.444
2.466 4.269 3.444
2.466 -4.269 3.444
1.256 2.094 1.804
0.052 0.000 5.080
1.256 -2.094 1.804
3.676 2.094 5.085
4.879 0.000 1.809
3.676 -2.094 5.085
```

---

Record 11
Below is a relaxed structure of Ca3Pu2TiAs6, with properties calculated at the PBE level.

Properties
- Calculated formation energy: -0.9986 eV/atom
- Raw total energy: -82.44 eV/cell

POSCAR file:
```
Ca3Pu2TiAs6
1.0
3.534 -6.124 0.000
3.534 6.124 0.000
-2.370 0.000 6.767
Ca Pu Ti As
3 2 1 6
Cartesian
0.000 0.000 0.000
3.534 2.081 0.000
3.534 -2.081 0.000
2.349 4.089 3.383
2.349 -4.089 3.383
2.349 0.000 3.383
1.233 1.941 1.877
0.114 0.000 4.896
1.233 -1.941 1.877
3.465 1.941 4.889
4.584 0.000 1.871
3.465 -1.941 4.889
```

---

Record 12
Below is a relaxed structure of CaTmPu2As4, with properties calculated at the PBE level.

Properties
- Calculated formation energy: -1.1430 eV/atom
- Raw total energy: -62.88 eV/cell

POSCAR file:
```
CaTmPu2As4
1.0
7.105 0.000 0.000
0.000 4.149 0.000
-2.420 0.000 6.788
Ca Tm Pu As
1 1 2 4
Cartesian
0.000 0.000 0.000
-1.210 2.074 3.394
2.342 0.000 3.394
3.552 2.074 0.000
0.004 0.000 5.061
1.229 2.074 1.769
3.455 2.074 5.019
4.680 0.000 1.728
```

---

Record 13
Below is a relaxed structure of CaPu2UAs4, with properties calculated at the PBE level.

Properties
- Calculated formation energy: -0.9452 eV/atom
- Raw total energy: -68.11 eV/cell

POSCAR file:
```
CaPu2UAs4
1.0
7.155 0.000 0.000
0.000 4.137 0.000
-2.366 0.000 6.813
Ca Pu U As
1 2 1 4
Cartesian
0.000 0.000 0.000
2.394 0.000 3.407
3.578 2.068 0.000
-1.183 2.068 3.407
0.009 0.000 5.053
1.187 2.068 1.795
3.602 2.068 5.018
4.780 0.000 1.760
```

---

Record 14
Below is a relaxed structure of Ca2PuUAs4, with properties calculated at the PBE level.

Properties
- Calculated formation energy: -1.0073 eV/atom
- Raw total energy: -56.28 eV/cell

POSCAR file:
```
Ca2PuUAs4
1.0
7.226 0.000 0.000
0.000 4.198 0.000
-2.445 0.000 6.848
Ca Pu U As
2 1 1 4
Cartesian
0.000 0.000 0.000
-1.222 2.099 3.424
2.391 0.000 3.424
3.613 2.099 0.000
0.081 0.000 5.232
1.348 2.099 1.708
3.433 2.099 5.140
4.701 0.000 1.616
```

---

Record 15
Below is a relaxed structure of Ca4PuU3As8, with properties calculated at the PBE level.

Properties
- Calculated formation energy: -0.9989 eV/atom
- Raw total energy: -109.38 eV/cell

POSCAR file:
```
Ca4PuU3As8
1.0
4.167 2.406 6.842
-4.167 2.406 6.842
0.000 -4.812 6.842
Ca Pu U As
4 1 3 8
Cartesian
0.000 0.000 0.000
-2.084 -1.203 6.842
-2.084 1.203 13.684
0.000 2.406 6.842
0.000 0.000 10.263
-4.167 0.000 10.263
-2.084 1.203 3.421
2.084 1.203 3.421
-2.120 -1.224 11.836
0.000 0.000 4.999
0.000 -2.448 8.690
-2.120 1.224 8.690
2.120 -1.224 11.836
0.000 2.448 11.836
0.000 0.000 15.527
2.120 1.224 8.690
```

---

Record 16
Below is a relaxed structure of Ca2YPuAs4, with properties calculated at the PBE level.

Properties
- Calculated formation energy: -1.1347 eV/atom
- Raw total energy: -52.48 eV/cell

POSCAR file:
```
Ca2YPuAs4
1.0
7.209 0.000 0.000
0.000 4.203 0.000
-2.423 0.000 6.828
Ca Y Pu As
2 1 1 4
Cartesian
0.000 0.000 0.000
3.604 2.101 0.000
-1.212 2.101 3.414
2.393 0.000 3.414
0.039 0.000 5.008
1.234 2.101 1.842
3.551 2.101 4.986
4.747 0.000 1.820
```

---

Record 17
Below is a relaxed structure of Ca2PuZrAs4, with properties calculated at the PBE level.

Properties
- Calculated formation energy: -1.0997 eV/atom
- Raw total energy: -54.28 eV/cell

POSCAR file:
```
Ca2PuZrAs4
1.0
7.061 0.000 0.000
0.000 4.088 0.000
-2.336 0.000 6.809
Ca Pu Zr As
2 1 1 4
Cartesian
0.000 0.000 0.000
3.530 2.044 0.000
-1.168 2.044 3.405
2.362 0.000 3.405
0.071 0.000 4.960
1.227 2.044 1.860
3.498 2.044 4.949
4.654 0.000 1.850
```

---

Record 18
Below is a relaxed structure of Ca3PuZr2As6, with properties calculated at the PBE level.

Properties
- Calculated formation energy: -1.1255 eV/atom
- Raw total energy: -78.84 eV/cell

POSCAR file:
```
Ca3PuZr2As6
1.0
3.502 -6.065 0.000
3.502 6.065 0.000
-2.332 0.000 6.817
Ca Pu Zr As
3 1 2 6
Cartesian
0.000 0.000 0.000
3.502 2.003 0.000
3.502 -2.003 0.000
2.335 0.000 3.408
2.335 4.040 3.408
2.335 -4.040 3.408
1.143 2.063 1.854
-0.047 0.000 4.956
1.143 -2.063 1.854
3.528 2.063 4.963
4.717 0.000 1.861
3.528 -2.063 4.963
```

---

Record 19
Below is a relaxed structure of RbCa2As, with properties calculated at the PBE level.

Properties
- Calculated formation energy: -0.2956 eV/atom
- Raw total energy: -43.21 eV/cell

POSCAR file:
```
RbCa2As
1.0
9.025 0.000 0.000
0.000 9.025 0.000
0.000 0.000 11.635
Rb Ca As
4 8 4
Cartesian
0.000 0.000 0.000
0.000 4.513 2.909
4.513 0.000 8.726
4.513 4.513 5.817
0.660 2.256 7.272
2.256 5.173 10.180
2.256 8.365 4.363
3.852 2.256 1.454
5.173 6.769 1.454
6.769 0.660 4.363
6.769 3.852 10.180
8.365 6.769 7.272
0.000 0.000 5.817
0.000 4.513 8.726
4.513 0.000 2.909
4.513 4.513 0.000
```

---

Record 20
Below is a relaxed structure of RbCa3As, with properties calculated at the PBE level.

Properties
- Calculated formation energy: -0.3622 eV/atom
- Excess energy over the best structure of this formula in the dataset: 0 meV/atom
- Raw total energy: -13.43 eV/cell

POSCAR file:
```
RbCa3As
1.0
5.926 0.000 0.000
0.000 5.926 0.000
0.000 0.000 5.926
Rb Ca As
1 3 1
Cartesian
0.000 0.000 0.000
0.000 2.963 2.963
2.963 0.000 2.963
2.963 2.963 0.000
2.963 2.963 2.963
```